Record 1
First-principles (PBE-GGA) data for a geometry-optimized Pa2Be2SnRu5 structure, as listed in Alexandria.

```
Pa2Be2SnRu5
1.0
-0.3341 3.2046 -0.9957
-2.9983 2.4263 8.8154
9.0933 1.7587 2.6088
Be Sn Pa Ru
4 2 4 10
Cartesian
-0.0370 1.1324 3.6572
5.2837 1.3854 2.6858
0.8113 2.7996 8.7383
6.1320 3.0526 7.7670
0.0000 0.0000 0.0000
3.0475 2.0925 5.7121
3.6677 3.1886 9.0319
2.4273 0.9964 2.3923
-0.4308 1.9467 6.4101
6.5259 2.2383 5.0141
6.7330 3.1701 2.2327
4.6083 4.2623 6.4610
4.2327 3.3082 3.5161
-0.1077 2.2619 1.6053
-0.9721 4.2195 8.1958
4.3796 2.4816 0.8066
5.8686 5.1277 8.8232
1.5282 4.0814 6.9124
-1.6662 2.8155 3.9099
1.1526 3.1273 3.9675
```

Summary:
**Formation enthalpy at 0 K**: -0.528 eV/atom
**M_tot**: 0.00 μB per atom



Record 2
First-principles (PBE-GGA) data for a geometry-optimized Zr2PaBe2Ru5 structure, as listed in Alexandria.

```
Zr2PaBe2Ru5
1.0
3.3533 0.0000 0.0000
0.0000 9.5469 0.0000
0.0000 0.0000 9.5469
Pa Ru Zr Be
2 10 4 4
Cartesian
0.0000 0.0000 0.0000
0.0000 4.7734 4.7734
1.6766 8.8350 2.0265
1.6766 4.7734 0.0000
1.6766 4.0616 2.7469
1.6766 5.4853 6.8000
1.6766 6.8000 4.0616
1.6766 7.5204 8.8350
1.6766 2.7469 5.4853
1.6766 0.7119 7.5204
1.6766 2.0265 0.7119
1.6766 0.0000 4.7734
0.0000 3.1600 7.9335
0.0000 6.3868 1.6134
0.0000 1.6134 3.1600
0.0000 7.9335 6.3868
0.0000 3.6049 1.1686
0.0000 5.9420 8.3783
0.0000 1.1686 5.9420
0.0000 8.3783 3.6049
```

Summary:
**Formation enthalpy at 0 K**: -0.558 eV/atom
**M_tot**: 0.00 μB per atom